{
  "formula": "CuAsSe2",
  "functional": "GGA-PBE",
  "state": "optimized geometry",
  "lattice": [[3.622, 0.000, 0.000], [0.000, 7.392, 0.000], [0.000, 0.000, 3.584]],
  "species": ["As", "Cu", "Se", "Se"],
  "frac_coords": [[0.500, 0.000, 0.500], [0.000, 0.500, 0.500], [0.000, 0.000, 0.000], [0.500, 0.500, 0.000]],
  "space_group": "No. 47"
}

{
  "formula": "CuAsSe2",
  "functional": "GGA-PBE",
  "state": "optimized geometry",
  "lattice": [[6.382, 0.000, 0.000], [4.872, 4.123, 0.000], [4.872, 1.785, 3.717]],
  "species": ["As", "Cu", "Se", "Se"],
  "frac_coords": [[0.995, 0.995, 0.995], [0.492, 0.492, 0.492], [0.132, 0.132, 0.132], [0.632, 0.632, 0.632]],
  "space_group": "No. 160"
}

{
  "formula": "Cu5AsSe6",
  "functional": "GGA-PBE",
  "state": "optimized geometry",
  "lattice": [[-3.972, 2.784, -4.497], [0.483, -2.903, -5.814], [-5.995, -2.072, -0.852]],
  "species": ["As", "Se", "Se", "Se", "Se", "Se", "Se", "Cu", "Cu", "Cu", "Cu", "Cu"],
  "frac_coords": [[0.000, 0.000, 0.000], [0.465, 0.754, 0.666], [0.870, 0.246, 0.666], [0.223, 0.267, 0.000], [0.777, 0.733, 0.000], [0.130, 0.754, 0.334], [0.535, 0.246, 0.334], [0.836, 0.500, 0.328], [0.665, 0.000, 0.670], [0.500, 0.500, 0.000], [0.335, 0.000, 0.330], [0.164, 0.500, 0.672]],
  "space_group": "No. 12"
}

Across the entries above, energy relative to the elements, uncorrected takes the values 111 -13 -66 kJ/mol of formula units, respectively.
Across the entries above, total magnetic moment takes the values 0.0 0.0 0.0 Bohr magnetons per cell, respectively.